Model A:
! PaCoPO PBE+U relaxed; values from VASP
&SYSTEM
  ibrav = 0, nat = 8, ntyp = 4
/
ATOMIC_SPECIES
O 16.00 O.upf
P 30.97 P.upf
Co 58.93 Co.upf
Pa 231.04 Pa.upf
CELL_PARAMETERS angstrom
4.429 0.000 0.000
0.000 5.827 0.000
0.000 0.000 5.736
ATOMIC_POSITIONS angstrom
O 0.000 1.143 5.143
P 2.214 4.313 5.291
P 2.214 1.514 2.422
Co 0.000 0.898 2.971
Pa 2.214 4.419 2.392
O 0.000 4.683 2.275
Pa 2.214 1.408 5.260
Co 0.000 4.929 0.103
! magnetic moment: 3.25 μB/cell
! space-group type: No. 26

---

Model B:
! PaCoPO PBE+U relaxed; values from VASP
&SYSTEM
  ibrav = 0, nat = 8, ntyp = 4
/
ATOMIC_SPECIES
O 16.00 O.upf
Pa 231.04 Pa.upf
Co 58.93 Co.upf
P 30.97 P.upf
CELL_PARAMETERS angstrom
4.131 0.000 0.000
0.000 3.984 0.000
0.000 0.000 6.884
ATOMIC_POSITIONS angstrom
O 2.066 0.999 3.019
Pa 2.066 2.990 4.160
Pa 2.066 0.994 0.718
O 2.066 2.985 6.461
Co 0.000 1.001 3.018
Co 0.000 2.983 6.460
P 0.000 2.992 1.877
P 0.000 0.992 5.319
! magnetic moment: 1.98 μB/cell
! space-group type: No. 26

---

Energy above the most stable structure, in kJ/mol of atoms: model A 9.8; model B 0.0

---

Model A:
! CoPPbO PBE+U relaxed; values from VASP
&SYSTEM
  ibrav = 0, nat = 8, ntyp = 4
/
ATOMIC_SPECIES
Pb 207.20 Pb.upf
P 30.97 P.upf
O 16.00 O.upf
Co 58.93 Co.upf
CELL_PARAMETERS angstrom
4.191 0.000 0.000
0.000 6.662 0.000
0.000 0.000 5.600
ATOMIC_POSITIONS angstrom
Pb 0.000 4.569 2.446
P 0.000 1.730 2.394
Pb 0.000 2.093 5.246
O 2.095 1.005 4.882
Co 2.095 0.749 2.903
O 2.095 5.657 2.081
Co 2.095 5.913 0.103
P 0.000 4.932 5.194
! magnetic moment: 5.71 μB/cell
! space-group type: No. 26

---

Model B:
! CoPPbO PBE+U relaxed; values from VASP
&SYSTEM
  ibrav = 0, nat = 8, ntyp = 4
/
ATOMIC_SPECIES
O 16.00 O.upf
Pb 207.20 Pb.upf
P 30.97 P.upf
Co 58.93 Co.upf
CELL_PARAMETERS angstrom
3.078 -3.078 0.000
3.078 3.078 0.000
-0.002 0.000 8.863
ATOMIC_POSITIONS angstrom
O 1.539 -1.539 0.001
O 1.539 1.539 0.001
Pb 1.539 -1.538 4.441
P -0.001 0.000 2.731
Co 3.077 0.000 8.773
Pb 1.539 1.538 4.441
Co 0.000 0.000 0.094
P 3.077 0.000 6.149
! magnetic moment: 5.85 μB/cell
! space-group type: No. 99

---

Model C:
! CoPPbO PBE+U relaxed; values from VASP
&SYSTEM
  ibrav = 0, nat = 8, ntyp = 4
/
ATOMIC_SPECIES
O 16.00 O.upf
Pb 207.20 Pb.upf
P 30.97 P.upf
Co 58.93 Co.upf
CELL_PARAMETERS angstrom
3.855 0.000 0.000
0.000 3.855 0.000
0.000 0.000 9.706
ATOMIC_POSITIONS angstrom
O 1.927 1.927 0.000
O 0.000 0.000 0.000
Pb 0.000 1.927 8.445
P 0.000 1.927 3.846
Pb 1.927 0.000 1.261
Co 1.927 1.927 4.853
Co 0.000 0.000 4.853
P 1.927 0.000 5.860
! magnetic moment: 1.07 μB/cell
! space-group type: No. 129

---

Model D:
! CoPPbO PBE+U relaxed; values from VASP
&SYSTEM
  ibrav = 0, nat = 8, ntyp = 4
/
ATOMIC_SPECIES
O 16.00 O.upf
Pb 207.20 Pb.upf
P 30.97 P.upf
Co 58.93 Co.upf
CELL_PARAMETERS angstrom
3.241 0.000 0.000
0.000 6.792 0.000
0.000 0.000 6.720
ATOMIC_POSITIONS angstrom
O 1.621 5.932 2.973
Pb 1.621 5.435 0.379
P 0.000 2.991 1.871
Co 0.000 1.911 6.564
Co 0.000 4.881 3.204
O 1.621 0.859 6.332
Pb 1.621 1.357 3.739
P 0.000 3.800 5.231
! magnetic moment: 5.16 μB/cell
! space-group type: No. 26

---

Energy above the most stable structure, in kJ/mol of atoms: model A 9.4; model B 47.6; model C 0.0; model D 15.9

---

Model A:
! CoPPdO PBE+U relaxed; values from VASP
&SYSTEM
  ibrav = 0, nat = 8, ntyp = 4
/
ATOMIC_SPECIES
P 30.97 P.upf
O 16.00 O.upf
Pd 106.42 Pd.upf
Co 58.93 Co.upf
CELL_PARAMETERS angstrom
-3.525 1.086 1.545
-0.140 -3.413 2.080
3.940 3.723 6.373
ATOMIC_POSITIONS angstrom
P 2.570 2.428 4.157
O -1.762 0.543 0.772
Pd 0.208 2.404 3.959
Co 3.808 3.598 6.160
O -0.070 -1.706 1.040
Pd 1.900 0.155 4.227
Co -1.700 -1.039 2.026
P -0.462 0.131 4.029
! magnetic moment: 5.72 μB/cell
! space-group type: No. 129

---

Model B:
! CoPPdO PBE+U relaxed; values from VASP
&SYSTEM
  ibrav = 0, nat = 8, ntyp = 4
/
ATOMIC_SPECIES
Co 58.93 Co.upf
P 30.97 P.upf
O 16.00 O.upf
Pd 106.42 Pd.upf
CELL_PARAMETERS angstrom
3.267 0.000 0.000
0.000 7.143 0.000
0.000 0.000 4.856
ATOMIC_POSITIONS angstrom
Co 1.633 2.698 0.125
P 0.000 5.782 1.923
O 1.633 2.660 2.012
Co 1.633 4.445 2.553
P 0.000 1.361 4.351
Pd 0.000 6.271 4.458
O 1.633 4.483 4.440
Pd 0.000 0.873 2.030
! magnetic moment: 4.32 μB/cell
! space-group type: No. 26

---

Energy above the most stable structure, in kJ/mol of atoms: model A 0.0; model B 17.8

---

Model A:
! PmCoPO PBE+U relaxed; values from VASP
&SYSTEM
  ibrav = 0, nat = 8, ntyp = 4
/
ATOMIC_SPECIES
P 30.97 P.upf
Co 58.93 Co.upf
O 16.00 O.upf
Pm 145.00 Pm.upf
CELL_PARAMETERS angstrom
-0.797 3.175 -2.860
-2.369 -4.088 -3.877
-5.269 0.808 2.367
ATOMIC_POSITIONS angstrom
P -5.811 1.381 -0.150
Co -4.307 -2.194 -1.235
O -2.833 -1.120 -0.454
P -4.442 -1.206 -3.404
Pm -7.061 -0.785 -2.205
O -6.181 -1.948 -0.438
Pm -3.183 0.958 -1.352
Co -1.003 -1.442 -1.322
! magnetic moment: 6.00 μB/cell
! space-group type: No. 26

---

Model B:
! PmCoPO PBE+U relaxed; values from VASP
&SYSTEM
  ibrav = 0, nat = 8, ntyp = 4
/
ATOMIC_SPECIES
Pm 145.00 Pm.upf
O 16.00 O.upf
P 30.97 P.upf
Co 58.93 Co.upf
CELL_PARAMETERS angstrom
-1.500 3.519 -2.188
1.796 -1.545 -3.716
-7.316 -4.225 -1.779
ATOMIC_POSITIONS angstrom
Pm -2.686 -2.391 -4.223
O -0.676 2.253 -2.570
O 0.972 -0.279 -3.334
P -2.043 0.173 -4.978
P -4.977 -2.424 -2.704
Pm -4.334 0.140 -3.459
Co 0.021 1.364 -4.476
Co -7.041 -3.615 -3.206
! magnetic moment: 6.35 μB/cell
! space-group type: No. 129

---

Energy above the most stable structure, in kJ/mol of atoms: model A 0.0; model B 116.7

---

Model A:
! PmCoPO PBE+U relaxed; values from VASP
&SYSTEM
  ibrav = 0, nat = 8, ntyp = 4
/
ATOMIC_SPECIES
Pm 145.00 Pm.upf
P 30.97 P.upf
Co 58.93 Co.upf
O 16.00 O.upf
CELL_PARAMETERS angstrom
-2.255 3.747 0.345
-1.298 -0.426 -3.865
-5.496 -3.513 2.233
ATOMIC_POSITIONS angstrom
Pm -2.011 1.408 -0.544
P -2.482 -1.281 -2.310
Co -2.743 -1.650 -0.009
O -7.255 -1.743 -0.606
Pm -5.421 -0.566 -1.400
O -3.874 0.221 0.164
Co -6.125 -3.614 -0.780
P -4.566 -2.820 0.781
! magnetic moment: 3.37 μB/cell
! space-group type: No. 26

---

Model B:
! PmCoPO PBE+U relaxed; values from VASP
&SYSTEM
  ibrav = 0, nat = 8, ntyp = 4
/
ATOMIC_SPECIES
P 30.97 P.upf
Pm 145.00 Pm.upf
O 16.00 O.upf
Co 58.93 Co.upf
CELL_PARAMETERS angstrom
3.920 0.000 0.000
0.000 3.920 0.000
0.000 0.000 7.977
ATOMIC_POSITIONS angstrom
P 1.960 0.000 2.980
Pm 1.960 0.000 6.775
Pm 0.000 1.960 1.202
O 0.000 0.000 0.000
Co 0.000 0.000 3.989
P 0.000 1.960 4.997
O 1.960 1.960 0.000
Co 1.960 1.960 3.989
! magnetic moment: 1.31 μB/cell
! space-group type: No. 129

---

Energy above the most stable structure, in kJ/mol of atoms: model A 33.0; model B 0.0

---

Model A:
! CoSbPO PBE+U relaxed; values from VASP
&SYSTEM
  ibrav = 0, nat = 8, ntyp = 4
/
ATOMIC_SPECIES
P 30.97 P.upf
Co 58.93 Co.upf
Sb 121.76 Sb.upf
O 16.00 O.upf
CELL_PARAMETERS angstrom
3.758 0.000 0.000
0.000 3.758 0.000
0.000 0.000 8.260
ATOMIC_POSITIONS angstrom
P 0.000 1.879 5.232
Co 1.879 1.879 4.130
Sb 1.879 0.000 6.993
P 1.879 0.000 3.028
O 1.879 1.879 0.000
O 0.000 0.000 0.000
Co 0.000 0.000 4.130
Sb 0.000 1.879 1.267
! magnetic moment: 1.08 μB/cell
! space-group type: No. 129

---

Model B:
! CoSbPO PBE+U relaxed; values from VASP
&SYSTEM
  ibrav = 0, nat = 8, ntyp = 4
/
ATOMIC_SPECIES
O 16.00 O.upf
P 30.97 P.upf
Co 58.93 Co.upf
Sb 121.76 Sb.upf
CELL_PARAMETERS angstrom
4.287 0.000 0.000
0.000 5.790 0.000
0.000 0.000 5.717
ATOMIC_POSITIONS angstrom
O 2.143 4.758 2.191
O 2.143 1.033 5.050
P 0.000 4.147 5.163
P 0.000 1.643 2.304
Co 2.143 4.938 0.131
Co 2.143 0.852 2.990
Sb 0.000 4.282 2.543
Sb 0.000 1.509 5.401
! magnetic moment: 5.71 μB/cell
! space-group type: No. 26

---

Model C:
! CoSbPO PBE+U relaxed; values from VASP
&SYSTEM
  ibrav = 0, nat = 8, ntyp = 4
/
ATOMIC_SPECIES
Co 58.93 Co.upf
O 16.00 O.upf
P 30.97 P.upf
Sb 121.76 Sb.upf
CELL_PARAMETERS angstrom
3.587 0.000 0.000
0.000 7.543 0.000
0.000 0.000 5.929
ATOMIC_POSITIONS angstrom
Co 0.000 2.726 5.747
O 1.794 5.443 2.136
P 0.000 2.533 2.185
Co 0.000 4.817 2.782
O 1.794 2.100 5.101
Sb 1.794 1.163 3.296
Sb 1.794 6.380 0.331
P 0.000 5.009 5.149
! magnetic moment: 6.00 μB/cell
! space-group type: No. 26

---

Energy above the most stable structure, in kJ/mol of atoms: model A 0.0; model B 8.0; model C 3.4

---

Model A:
! CoSiPO PBE+U relaxed; values from VASP
&SYSTEM
  ibrav = 0, nat = 8, ntyp = 4
/
ATOMIC_SPECIES
P 30.97 P.upf
Si 28.09 Si.upf
O 16.00 O.upf
Co 58.93 Co.upf
CELL_PARAMETERS angstrom
3.004 0.000 0.000
0.000 6.046 0.000
0.000 0.000 5.908
ATOMIC_POSITIONS angstrom
P 1.502 1.909 2.112
Si 1.502 4.044 2.826
Si 1.502 2.003 5.780
O 0.000 4.740 2.271
O 0.000 1.306 5.225
Co 0.000 5.341 0.201
P 1.502 4.137 5.066
Co 0.000 0.705 3.155
! magnetic moment: 3.56 μB/cell
! space-group type: No. 26

---

Model B:
! CoSiPO PBE+U relaxed; values from VASP
&SYSTEM
  ibrav = 0, nat = 8, ntyp = 4
/
ATOMIC_SPECIES
O 16.00 O.upf
P 30.97 P.upf
Si 28.09 Si.upf
Co 58.93 Co.upf
CELL_PARAMETERS angstrom
2.852 -2.852 0.000
2.852 2.852 0.000
0.000 0.000 7.901
ATOMIC_POSITIONS angstrom
O 1.426 -1.426 0.000
P 2.852 0.000 2.768
Si 1.426 1.426 3.950
Si 1.426 -1.426 3.950
P 0.000 0.000 5.133
O 1.426 1.426 0.000
Co 0.000 0.000 7.506
Co 2.852 0.000 0.394
! magnetic moment: 5.72 μB/cell
! space-group type: No. 129

---

Energy above the most stable structure, in kJ/mol of atoms: model A 0.0; model B 28.8

---

Model A:
! ZrCoPO PBE+U relaxed; values from VASP
&SYSTEM
  ibrav = 0, nat = 8, ntyp = 4
/
ATOMIC_SPECIES
Co 58.93 Co.upf
O 16.00 O.upf
Zr 91.22 Zr.upf
P 30.97 P.upf
CELL_PARAMETERS angstrom
-0.194 -1.410 -3.998
-0.165 -3.997 1.418
-8.448 0.439 0.256
ATOMIC_POSITIONS angstrom
Co -0.187 -1.993 0.712
O -0.179 -2.704 -1.290
Zr -4.404 -2.484 -1.162
Co -8.441 -0.272 -1.746
O 0.000 0.000 0.000
P -5.727 -0.413 -1.829
Zr -4.224 0.219 0.128
P -2.901 -1.852 0.794
! magnetic moment: 5.41 μB/cell
! space-group type: No. 129

---

Model B:
! ZrCoPO PBE+U relaxed; values from VASP
&SYSTEM
  ibrav = 0, nat = 8, ntyp = 4
/
ATOMIC_SPECIES
Zr 91.22 Zr.upf
P 30.97 P.upf
O 16.00 O.upf
Co 58.93 Co.upf
CELL_PARAMETERS angstrom
4.207 0.000 0.000
0.000 5.368 0.000
0.000 0.000 5.364
ATOMIC_POSITIONS angstrom
Zr 0.000 3.965 4.838
P 0.000 1.298 4.865
Zr 0.000 1.402 2.156
O 2.103 1.397 2.209
O 2.103 3.971 4.891
P 0.000 4.070 2.183
Co 2.103 1.966 0.178
Co 2.103 3.402 2.860
! magnetic moment: 0.00 μB/cell
! space-group type: No. 26

---

Energy above the most stable structure, in kJ/mol of atoms: model A 77.8; model B 0.0

---

Model A:
! ZrCoPO PBE+U relaxed; values from VASP
&SYSTEM
  ibrav = 0, nat = 8, ntyp = 4
/
ATOMIC_SPECIES
Co 58.93 Co.upf
Zr 91.22 Zr.upf
P 30.97 P.upf
O 16.00 O.upf
CELL_PARAMETERS angstrom
-1.788 2.970 0.999
-2.291 -2.023 1.916
4.738 0.699 6.403
ATOMIC_POSITIONS angstrom
Co 0.330 0.823 4.659
Zr -0.398 -0.901 1.969
P 2.087 -0.535 5.326
Co 2.369 0.349 3.202
P 0.612 1.707 2.534
O -2.039 0.473 1.457
Zr 3.096 2.074 5.892
O 0.000 0.000 0.000
! magnetic moment: 3.98 μB/cell
! space-group type: No. 129

---

Model B:
! ZrCoPO PBE+U relaxed; values from VASP
&SYSTEM
  ibrav = 0, nat = 8, ntyp = 4
/
ATOMIC_SPECIES
O 16.00 O.upf
P 30.97 P.upf
Co 58.93 Co.upf
Zr 91.22 Zr.upf
CELL_PARAMETERS angstrom
-2.491 2.497 -0.497
-2.162 -1.148 5.070
3.740 4.241 2.555
ATOMIC_POSITIONS angstrom
O 1.418 4.602 3.245
P 1.450 2.643 6.006
Co 2.798 3.675 4.435
Zr -3.008 0.521 4.929
Co 0.433 1.292 4.319
Zr 0.915 3.731 1.393
O -1.508 1.921 4.445
P 0.731 1.133 2.030
! magnetic moment: 4.24 μB/cell
! space-group type: No. 26

---

Energy above the most stable structure, in kJ/mol of atoms: model A 0.0; model B 25.7

---

Model A:
! CoPb2O4 PBE+U relaxed; values from VASP
&SYSTEM
  ibrav = 0, nat = 7, ntyp = 3
/
ATOMIC_SPECIES
Pb 207.20 Pb.upf
Co 58.93 Co.upf
O 16.00 O.upf
CELL_PARAMETERS angstrom
-1.848 1.595 -3.103
-1.106 -3.598 -1.190
-5.069 0.479 3.264
ATOMIC_POSITIONS angstrom
Pb -2.534 0.239 1.632
Co 0.000 0.000 0.000
O -1.985 0.898 -0.868
O -4.561 -1.420 1.986
O -4.932 1.176 1.030
Pb -1.477 -1.001 -2.147
O -1.614 -1.699 0.088
! magnetic moment: 2.97 μB/cell
! space-group type: No. 123

---

Model B:
! CoPb2O4 PBE+U relaxed; values from VASP
&SYSTEM
  ibrav = 0, nat = 14, ntyp = 3
/
ATOMIC_SPECIES
Co 58.93 Co.upf
Pb 207.20 Pb.upf
O 16.00 O.upf
CELL_PARAMETERS angstrom
1.276 -1.239 -6.449
4.895 -0.497 4.533
-4.932 -4.519 -0.106
ATOMIC_POSITIONS angstrom
Co 0.000 0.000 0.000
Pb 1.067 -3.662 0.915
Co 2.171 -2.308 -2.597
O -0.474 -4.494 2.546
O 0.178 -5.128 -0.754
O 2.609 -2.830 -0.715
Pb 3.533 -1.402 0.968
O 1.957 -2.196 2.584
O -0.455 -1.928 0.281
O 0.218 -2.586 -2.929
Pb -0.742 -4.033 -4.576
O -2.978 -4.240 0.226
O -2.305 -4.899 -2.984
Pb -1.380 -3.413 -1.351
! magnetic moment: 4.74 μB/cell
! space-group type: No. 227

---

Energy above the most stable structure, in kJ/mol of atoms: model A 20.4; model B 0.0